VASP calculation (PBE+U) on a relaxed Na2MnO3 crystal.

CIF file:
```
data_Na2MnO3
_chemical_formula_sum 'Na8 Mn4 O12'
_space_group_name_H-M_alt 'C 1 2/m 1'
_space_group_IT_number 12
_cell_length_a 5.299
_cell_length_b 9.178
_cell_length_c 5.692
_cell_angle_alpha 90.00
_cell_angle_beta 108.63
_cell_angle_gamma 90.00
loop_
_space_group_symop_operation_xyz
'x,y,z'
'-x,-y,-z'
'-x,y,-z'
'x,-y,z'
'x+1/2,y+1/2,z'
'-x+1/2,-y+1/2,-z'
'-x+1/2,y+1/2,-z'
'x+1/2,-y+1/2,z'
loop_
_atom_site_label
_atom_site_type_symbol
_atom_site_fract_x
_atom_site_fract_y
_atom_site_fract_z
Na1 Na 0.000 0.000 0.000
Na2 Na 0.000 0.158 0.500
Na3 Na 0.000 0.500 0.500
Mn1 Mn 0.000 0.333 0.000
O1 O 0.193 0.500 0.201
O2 O 0.244 0.312 0.800
```

Summary:
Spin magnetization   0.500 μB per atom
Polymorph energy (0 for the lowest one)   0.00 eV/f.u.
Electronic total energy   -5.723 eV per atom